No. 1
3
Lattice="-2.171 3.059 1.354 2.171 -3.059 1.354 2.171 3.059 -1.354" Properties=species:S:1:pos:R:3 comment="HOs2, relaxed, DFT GGA-PBE" e_above_lowest_polymorph_ev_per_atom=0.3997 total_energy_ev_per_atom=-7.9172 pbc="T T T"
H 0.000 0.000 0.000
Os 2.171 -1.196 1.305
Os 2.171 1.196 1.305

No. 2
10
Lattice="5.950 -3.476 0.000 5.950 3.476 0.000 -5.832 0.000 6.013" Properties=species:S:1:pos:R:3 comment="Th3SnH, relaxed, DFT GGA-PBE" e_above_lowest_polymorph_ev_per_atom=0.0494 total_energy_ev_per_atom=-6.2299 pbc="T T T"
Th 1.356 1.748 4.237
Th -1.674 0.000 4.876
Th 4.713 1.748 1.775
Th 1.356 -1.748 4.237
Th 7.743 0.000 1.136
Th 4.713 -1.748 1.775
Sn 1.781 0.000 1.190
Sn 4.287 0.000 4.823
H -0.101 0.000 3.189
H 6.170 0.000 2.824

No. 3
10
Lattice="3.650 0.000 0.000 -1.825 3.161 0.000 0.000 0.000 11.625" Properties=species:S:1:pos:R:3 comment="EuGaO3, relaxed, DFT GGA-PBE" formation_energy_uncorrected_mev_per_atom=-2270 total_energy_ev_per_atom=-7.9050 pbc="T T T"
Eu 0.000 0.000 0.000
Eu 0.000 0.000 5.812
Ga 0.000 2.107 2.906
Ga 1.825 1.054 8.719
O 0.000 0.000 2.906
O 0.000 0.000 8.719
O 0.000 2.107 1.029
O 0.000 2.107 4.784
O 1.825 1.054 6.841
O 1.825 1.054 10.596